## RbAcMnO4 (PBE+U)

Data for crystalline RbAcMnO4 at its relaxed geometry.

Computed properties:
M_tot = 6.00 μB/cell
DFT total energy = -6.56 eV per atom
space-group type = Cmcm (63)

POSCAR file:
```
RbAcMnO4
1.0
3.3748 -5.4527 0.0000
3.3748 5.4527 0.0000
0.0000 0.0000 7.4686
Rb Ac Mn O
2 2 2 8
Direct
0.0000 0.0000 0.0000 Rb
0.0000 0.0000 0.5000 Rb
0.3314 0.6686 0.7500 Ac
0.6686 0.3314 0.2500 Ac
0.3694 0.6306 0.2500 Mn
0.6306 0.3694 0.7500 Mn
0.2641 0.7359 0.0631 O
0.2641 0.7359 0.4369 O
0.2940 0.3215 0.2500 O
0.3215 0.2940 0.7500 O
0.6785 0.7060 0.2500 O
0.7060 0.6785 0.7500 O
0.7359 0.2641 0.5631 O
0.7359 0.2641 0.9369 O
```